Record 1
KZnICl2: relaxed, PBE.

Lattice parameters (Å, degrees): 5.0081 5.0081 5.7357 90.00 90.00 90.00
Last column: nearest neighbours and their distance in Å.
Fractional positions:
K  0.5000  0.5000  0.5000  4 I 3.54, 8 Cl 3.81
Zn  0.0000  0.0000  0.0000  4 Cl 2.50
Cl  0.0000  0.5000  0.0000  2 Zn 2.50
Cl  0.5000  0.0000  0.0000  2 Zn 2.50
I  0.0000  0.0000  0.5000  2 Zn 2.87

## Properties
mass density	3.49	g/cm3
raw formation energy	-1156	meV per atom
total moment	0.00	μB per cell

=====

Record 2
LaSm2Sb: relaxed, PBE.

Lattice parameters (Å, degrees): 5.5042 5.5042 5.5036 60.00 60.00 60.00
Last column: nearest neighbours and their distance in Å.
Fractional positions:
Sb  0.0000  0.0000  0.0000  8 Sm 3.37
Sm  0.7501  0.7501  0.7498  4 Sb 3.37, 4 La 3.37
Sm  0.2499  0.2499  0.2502  4 Sb 3.37, 4 La 3.37
La  0.5000  0.5000  0.5000  8 Sm 3.37

## Properties
mass density	7.91	g/cm3
polymorph energy (0 for the lowest one)	1.03	eV/f.u.
raw formation energy	-327	meV per atom
total moment	0.00	μB per cell

=====

Record 3
TiV3Ge2: relaxed, PBE.

Lattice parameters (Å, degrees): 3.3044 8.5160 7.7117 123.05 90.00 101.19
Last column: nearest neighbours and their distance in Å.
Fractional positions:
Ti  0.1168  0.2336  0.1050  6 Ge 2.59-2.71, 2 V 2.89
Ti  0.8832  0.7664  0.8950  6 Ge 2.59-2.71, 2 V 2.89
V  0.6864  0.3729  0.4692  4 Ge 2.51-2.68, 4 V 2.52-2.74
V  0.9463  0.8926  0.5389  1 V 2.19
V  0.3136  0.6271  0.5308  4 Ge 2.51-2.68, 4 V 2.52-2.74
V  0.6419  0.2838  0.8172  4 Ge 2.53-2.68, 2 V 2.82
V  0.3581  0.7162  0.1828  4 Ge 2.53-2.68, 2 V 2.82
V  0.0537  0.1074  0.4611  1 V 2.19
Ge  0.7588  0.5175  0.2346  7 V 2.53-2.68, 2 Ti 2.59
Ge  0.4894  0.9787  0.8200  4 V 2.49-2.56, 1 Ge 2.60, 4 Ti 2.63-2.71
Ge  0.2412  0.4825  0.7654  7 V 2.53-2.68, 2 Ti 2.59
Ge  0.5106  0.0213  0.1800  4 V 2.49-2.56, 1 Ge 2.60, 4 Ti 2.63-2.71

## Properties
mass density	6.49	g/cm3
formation energy	-0.311	eV per atom
total moment	0.00	μB per cell

=====

Record 4
AlRh2Pb: relaxed, PBE.

Lattice parameters (Å, degrees): 8.5074 8.5074 8.5074 20.90 20.90 20.90
Last column: nearest neighbours and their distance in Å.
Fractional positions:
Rh  0.9895  0.9895  0.9895  3 Al 2.55
Rh  0.5105  0.5105  0.5105  3 Al 2.55
Al  0.2500  0.2500  0.2500  6 Rh 2.55
Pb  0.7500  0.7500  0.7500  6 Rh 2.94, 6 Pb 3.09

## Properties
mass density	10.65	g/cm3
formation energy	-0.251	eV per atom
total moment	0.00	μB per cell

=====

What raw total energy values result from the calculations? In sequence: -2.679; -4.949; -7.725; -5.790 eV/atom.